Entry 1:
Compound: Ho2CdIn
Source: Alexandria
Functional: PBE-GGA
Structure: relaxed

Structure (POSCAR):
```
Ho2CdIn
1.0
3.7055 0.0000 0.0000
0.0000 5.3027 0.0000
0.0000 0.0000 5.3027
Cd Ho In
1 2 1
Cartesian
1.8527 0.0000 0.0000
0.0000 2.6514 0.0000
0.0000 0.0000 2.6514
1.8527 2.6514 2.6514
```

Calculated values
Relative energy among the computed polymorphs in meV/atom: 2
DFT total energy in eV/f.u.: -14.40

Entry 2:
Compound: Na3TcRh3S8
Source: Alexandria
Functional: PBE-GGA
Structure: relaxed

Structure (POSCAR):
```
Na3TcRh3S8
1.0
-3.4589 -0.8006 6.2522
7.1842 -0.1751 -0.1820
-3.4582 6.7850 -1.0444
Na S Rh Tc
3 8 3 1
Cartesian
3.5921 -0.0875 -0.0910
1.8627 -0.4878 3.0351
0.0000 0.0000 0.0000
3.6920 4.3577 0.5620
-3.4249 1.4517 4.4638
1.8739 1.8198 1.2697
-1.7194 1.8464 1.3808
1.9864 3.9629 3.6449
-1.6068 3.9896 3.7561
0.1180 1.3653 4.3743
0.1491 4.4440 0.6515
1.8630 3.3050 -0.6132
0.1335 2.9047 2.5129
-3.4586 2.9922 2.6039
-1.7291 3.3925 -0.5222
```

Calculated values
E_form (uncorrected) in eV/atom: -0.63
DFT total energy in eV/f.u.: -78.86

Entry 3:
Compound: Pr2Nd9Er
Source: Alexandria
Functional: PBE-GGA
Structure: relaxed

Structure (POSCAR):
```
Pr2Nd9Er
1.0
5.1912 0.0000 0.0000
0.0000 5.1912 0.0000
0.0000 0.0000 15.5683
Nd Pr Er
9 2 1
Cartesian
0.0000 2.5956 2.5525
2.5956 0.0000 7.7841
2.5956 0.0000 13.0158
0.0000 2.5956 7.7841
0.0000 2.5956 13.0158
2.5956 2.5956 5.1665
2.5956 2.5956 10.4018
2.5956 0.0000 2.5525
2.5956 2.5956 0.0000
0.0000 0.0000 10.4041
0.0000 0.0000 5.1642
0.0000 0.0000 0.0000
```

Calculated values
DFT total energy in eV/f.u.: -56.86

Entry 4:
Compound: Cs2Ca3HoCl12
Source: Alexandria
Functional: PBE-GGA
Structure: relaxed

Structure (POSCAR):
```
Cs2Ca3HoCl12
1.0
-1.9043 8.8296 -4.2946
-8.2136 1.4783 -5.5121
-7.4504 5.8684 3.1755
Cl Cs Ca Ho
12 2 3 1
Cartesian
-5.8091 4.7444 1.4568
-7.3355 7.3257 -6.2187
-2.4288 6.5492 -3.0962
-10.6724 6.3211 -5.4180
-7.0372 10.5567 -4.7165
-6.2743 2.0686 -3.8383
-10.5310 5.6196 -1.9147
-10.2327 8.8506 -0.4124
-6.8958 9.8551 -1.2132
-11.2940 14.1076 -2.7929
-15.1395 9.6270 -3.5349
-11.7591 11.4318 -8.0880
-10.6088 9.7682 -4.0043
-6.9595 6.4080 -2.6269
-0.9521 4.4148 -2.1473
-4.1068 0.7391 -2.7560
-3.7252 2.9342 1.5878
0.0000 0.0000 0.0000
```

Calculated values
E_form (uncorrected) in eV/atom: -2.09
DFT total energy in eV/f.u.: -71.99

Entry 5:
Compound: PuAgPb2
Source: Alexandria
Functional: PBE-GGA
Structure: relaxed

Structure (POSCAR):
```
PuAgPb2
1.0
-4.6657 0.3777 -1.2263
-2.6938 -3.9853 -0.5252
-3.8829 -0.9628 4.9293
Pb Ag Pu
2 1 1
Cartesian
-3.6236 -1.0063 3.9295
-2.7324 -1.1557 0.4930
-8.7184 -3.3798 3.4886
-5.6720 -2.2767 1.7848
```

Calculated values
Relative energy among the computed polymorphs in meV/atom: 202
DFT total energy in eV/f.u.: -24.06

Entry 6:
Compound: Nd4Zn5Ag
Source: Alexandria
Functional: PBE-GGA
Structure: relaxed

Structure (POSCAR):
```
Nd4Zn5Ag
1.0
-2.2959 0.3417 2.7713
-0.9565 -3.4670 -0.3649
12.9432 -4.7611 11.3098
Zn Nd Ag
5 4 1
Cartesian
-0.6279 -1.9298 2.0755
7.5508 -4.9383 9.2220
4.8455 -3.9432 6.8581
2.1401 -2.9480 4.4942
10.3188 -5.9565 11.6407
10.5326 -3.8743 9.2034
2.4106 -0.8867 2.1064
7.8427 -2.8849 6.8530
5.1005 -1.8762 4.4568
0.0000 0.0000 0.0000
```

Calculated values
DFT total energy in eV/f.u.: -30.67

no.,spin magnetization (μB per cell),volume (Å³ per atom)
1,0.00,26.05
2,2.95,19.30
3,0.00,34.96
4,0.97,37.89
5,5.92,28.90
6,0.00,23.31